DFT (GGA-PBE) results for VSiRu3 after structural relaxation.

Values from the calculation:
**Energy above the most stable polymorph in this dataset**: 8.08 eV per formula unit
**Volume**: 17.3 A^3/atom
**E_form (uncorrected)**: 1.225 eV/atom
**Magnetic moment**: 0.00 μB per formula unit
**Raw total energy**: -36.244 eV per formula unit

Geometry as CIF:
```
data_VSiRu3
_cell_length_a 4.4248
_cell_length_b 4.4248
_cell_length_c 4.4248
_cell_angle_alpha 90.00
_cell_angle_beta 90.00
_cell_angle_gamma 90.00
_space_group_name_H-M_alt 'P 1'
_space_group_IT_number 1
loop_
_space_group_symop_operation_xyz
'x,y,z'
loop_
_atom_site_label
_atom_site_type_symbol
_atom_site_fract_x
_atom_site_fract_y
_atom_site_fract_z
V1 V 0.0000 0.0000 0.0000
Ru1 Ru 0.5000 0.0000 0.0000
Ru2 Ru 0.0000 0.0000 0.5000
Si1 Si 0.5000 0.5000 0.5000
Ru3 Ru 0.0000 0.5000 0.0000
```

=====

DFT (GGA-PBE) results for Pu2AlGa6Ni after structural relaxation.

Values from the calculation:
**Volume**: 19.4 A^3/atom
**Magnetic moment**: 11.29 μB per formula unit
**DFT formation energy**: -0.24 eV per atom
**Raw total energy**: -58.764 eV per formula unit

Geometry as CIF:
```
data_Pu2AlGa6Ni
_cell_length_a 6.2307
_cell_length_b 6.2307
_cell_length_c 12.1060
_cell_angle_alpha 75.09
_cell_angle_beta 75.09
_cell_angle_gamma 60.00
_space_group_name_H-M_alt 'P 1'
_space_group_IT_number 1
loop_
_space_group_symop_operation_xyz
'x,y,z'
loop_
_atom_site_label
_atom_site_type_symbol
_atom_site_fract_x
_atom_site_fract_y
_atom_site_fract_z
Pu1 Pu 0.8669 0.8669 0.3993
Ga1 Ga 0.6522 0.6522 0.6406
Al1 Al 0.5000 0.5000 0.5000
Ni1 Ni 0.5709 0.5709 0.2872
Pu2 Pu 0.1331 0.1331 0.6007
Ga2 Ga 0.7861 0.2628 0.1649
Ga3 Ga 0.7372 0.2139 0.8351
Ga4 Ga 0.7861 0.7861 0.1649
Ga5 Ga 0.3478 0.9449 0.3594
Ga6 Ga 0.0551 0.6522 0.6406
Ga7 Ga 0.2139 0.7372 0.8351
Ga8 Ga 0.3478 0.3478 0.3594
Ga9 Ga 0.6522 0.0551 0.6406
Ga10 Ga 0.2139 0.2139 0.8351
Ga11 Ga 0.2628 0.7861 0.1649
Ga12 Ga 0.9449 0.3478 0.3594
Ni2 Ni 0.4291 0.4291 0.7128
Pu3 Pu 0.6904 0.6904 0.9287
Pu4 Pu 0.3096 0.3096 0.0713
Al2 Al 0.0000 0.0000 0.0000
```

=====

DFT (GGA-PBE) results for SrSbTe2Cl after structural relaxation.

Values from the calculation:
**Energy above the most stable polymorph in this dataset**: 2.63 eV per formula unit
**Volume**: 46.2 A^3/atom
**E_form (uncorrected)**: 0.383 eV/atom
**Magnetic moment**: 0.00 μB per formula unit
**Raw total energy**: -12.020 eV per formula unit

Geometry as CIF:
```
data_SrSbTe2Cl
_cell_length_a 6.0418
_cell_length_b 6.0418
_cell_length_c 6.3347
_cell_angle_alpha 90.00
_cell_angle_beta 90.00
_cell_angle_gamma 90.00
_space_group_name_H-M_alt 'P 1'
_space_group_IT_number 1
loop_
_space_group_symop_operation_xyz
'x,y,z'
loop_
_atom_site_label
_atom_site_type_symbol
_atom_site_fract_x
_atom_site_fract_y
_atom_site_fract_z
Sr1 Sr 0.0000 0.0000 0.0000
Te1 Te 0.0000 0.5000 0.0000
Cl1 Cl 0.5000 0.5000 0.5000
Te2 Te 0.5000 0.0000 0.0000
Sb1 Sb 0.0000 0.0000 0.5000
```

=====

DFT (GGA-PBE) results for RbMnTc3 after structural relaxation.

Values from the calculation:
**Energy above the most stable polymorph in this dataset**: 10.29 eV per formula unit
**Volume**: 19.2 A^3/atom
**Magnetic moment**: 0.22 μB per formula unit
**DFT formation energy**: 3.64 eV per atom
**Raw total energy**: -23.014 eV per formula unit

Geometry as CIF:
```
data_RbMnTc3
_cell_length_a 4.5790
_cell_length_b 4.5790
_cell_length_c 4.5790
_cell_angle_alpha 90.00
_cell_angle_beta 90.00
_cell_angle_gamma 90.00
_space_group_name_H-M_alt 'P 1'
_space_group_IT_number 1
loop_
_space_group_symop_operation_xyz
'x,y,z'
loop_
_atom_site_label
_atom_site_type_symbol
_atom_site_fract_x
_atom_site_fract_y
_atom_site_fract_z
Tc1 Tc 0.0000 0.5000 0.0000
Tc2 Tc 0.5000 0.0000 0.0000
Rb1 Rb 0.0000 0.0000 0.0000
Tc3 Tc 0.0000 0.0000 0.5000
Mn1 Mn 0.5000 0.5000 0.5000
```

=====

DFT (GGA-PBE) results for NdEu2Zn after structural relaxation.

Values from the calculation:
**Energy above the most stable polymorph in this dataset**: 0.00 eV per formula unit
**Volume**: 32.2 A^3/atom
**Magnetic moment**: 14.59 μB per formula unit
**DFT formation energy**: -0.08 eV per atom
**Raw total energy**: -26.922 eV per formula unit

Geometry as CIF:
```
data_NdEu2Zn
_cell_length_a 3.7203
_cell_length_b 3.7203
_cell_length_c 9.3109
_cell_angle_alpha 90.00
_cell_angle_beta 90.00
_cell_angle_gamma 90.00
_space_group_name_H-M_alt 'P 1'
_space_group_IT_number 1
loop_
_space_group_symop_operation_xyz
'x,y,z'
loop_
_atom_site_label
_atom_site_type_symbol
_atom_site_fract_x
_atom_site_fract_y
_atom_site_fract_z
Eu1 Eu 0.0000 0.0000 0.7997
Nd1 Nd 0.5000 0.5000 0.5000
Eu2 Eu 0.0000 0.0000 0.2003
Zn1 Zn 0.5000 0.5000 0.0000
```